First-principles (PBE) data for a relaxed Mg2CoTe crystal, as listed in Alexandria.

Calculated values
The calculation puts the uncorrected energy at -3.430 eV per atom. For the calculated density, the calculation gives 4.8 g/cm³. The calculation puts the formation energy from raw total energies at -0.28 eV per formula unit. For the density of states at the Fermi level, the calculation gives 3.37 states/eV/cell. The calculation puts the magnetization at 0.25 μB/atom.

Lattice parameters (Å, degrees): 3.8716 3.9031 5.7490 70.11 90.00 90.00
Each line ends with the local moment (μB).
Positions (direct):
Co1 0.5000 0.5408 0.7941  1.07
Mg1 0.0000 0.9722 0.9310  -0.02
Mg2 0.5000 0.2974 0.2795  -0.01
Te1 0.0000 0.6896 0.4954  0.03

---

First-principles (PBE) data for a relaxed CdFeCu2 crystal, as listed in Alexandria.

Calculated values
The calculation puts the uncorrected energy at -4.128 eV per atom. As for the calculated formation energy: 265 meV/atom. For the calculated density, the calculation gives 8.6 g/cm³. For the density of states at the Fermi level, the calculation gives 3.22 states/eV/cell. The calculation puts the magnetization at 0.69 μB/atom.

Lattice parameters (Å, degrees): 5.2235 5.2235 5.2235 148.70 128.96 61.11
Each line ends with the local moment (μB).
Positions (direct):
Cu1 0.7538 0.2538 0.5000  0.03
Cu2 0.9854 0.9854 0.0000  0.05
Fe1 0.5146 0.5146 0.0000  2.76
Cd1 0.2462 0.7462 0.5000  -0.02

---

First-principles (PBE) data for a relaxed Na2MgTeO4 crystal, as listed in Alexandria.

Calculated values
The calculation puts the uncorrected energy at -4.976 eV per atom. For the calculated density, the calculation gives 3.4 g/cm³. The calculation puts the formation energy from raw total energies at -12.60 eV per formula unit. For the density of states at the Fermi level, the calculation gives 0.00 states/eV/cell. The calculation puts the magnetization at 0.00 μB/atom.

Lattice parameters (Å, degrees): 5.8597 5.8597 5.8597 80.06 125.90 125.90
Positions (direct):
O1 0.4502 0.8819 0.8222
O2 0.0597 0.1778 0.6280
O3 0.5498 0.3720 0.4317
O4 0.9403 0.5683 0.1181
Na1 0.0000 0.0000 0.0000
Na2 0.5000 0.7500 0.2500
Te1 0.0000 0.5000 0.5000
Mg1 0.5000 0.2500 0.7500

---

First-principles (PBE) data for a relaxed Pm2TmCo9 crystal, as listed in Alexandria.

Calculated values
The calculation puts the uncorrected energy at -6.607 eV per atom. As for the calculated formation energy: -113 meV/atom. For the calculated density, the calculation gives 9.3 g/cm³. For the density of states at the Fermi level, the calculation gives 16.54 states/eV/cell. The calculation puts the magnetization at 0.86 μB/atom.

Lattice parameters (Å, degrees): 4.9736 4.9736 8.7611 73.51 73.51 60.00
Each line ends with the local moment (μB).
Positions (direct):
Co1 0.5780 0.0804 0.7636  1.30
Co2 0.4220 0.9196 0.2364  1.30
Co3 0.5000 0.5000 0.5000  1.04
Co4 0.6664 0.6664 0.0007  1.46
Co5 0.0804 0.5780 0.7636  1.30
Co6 0.9196 0.4220 0.2364  1.30
Co7 0.4220 0.4220 0.2364  1.30
Co8 0.3336 0.3336 0.9993  1.46
Co9 0.5780 0.5780 0.7636  1.30
Pm1 0.8608 0.8608 0.4177  -0.28
Pm2 0.1392 0.1392 0.5823  -0.28
Tm1 0.0000 0.0000 0.0000  -0.33

---

- Which formula does entry 2 have?
  CdFeCu2